Density functional theory data (GGA+U) for SrVOsO6 after structural relaxation.

Lattice parameters (Å, degrees): 5.2017 5.2017 5.3547 90.00 90.00 120.00
Closest atoms and distances in Å follow each position.
Fractional coordinates of all 9 atoms:
1 Sr 0.0000 0.0000 0.0000  6 O 2.56
2 V 0.3333 0.6667 0.5000  6 O 1.93
3 Os 0.6667 0.3333 0.5000  6 O 1.96
4 O 0.0044 0.3841 0.6993  1 V 1.93, 1 Os 1.96
5 O 0.0044 0.6204 0.3007  1 V 1.93, 1 Os 1.96
6 O 0.3796 0.3841 0.3007  1 V 1.93, 1 Os 1.96
7 O 0.3796 0.9956 0.6993  1 V 1.93, 1 Os 1.96
8 O 0.6159 0.6204 0.6993  1 V 1.93, 1 Os 1.96
9 O 0.6159 0.9956 0.3007  1 V 1.93, 1 Os 1.96

SG	P312 (149)
D(E_F)	0.011	states/eV/atom
E	-7.381	eV/atom